# 1
{"formula": "Rb3Ag2Br6", "functional": "GGA-PBE", "state": "optimized geometry", "e_tot_ev_per_fu": -30.76, "e_form_raw_mev_per_atom": -1101, "total_magnetization_mub_per_atom": 0.000, "dos_ef_per_ev_atom": 0.54, "lattice": [[-2.649, 2.649, 14.316], [2.649, -2.649, 14.316], [2.649, 2.649, -14.316]], "species": ["Rb", "Rb", "Rb", "Ag", "Ag", "Br", "Br", "Br", "Br", "Br", "Br"], "fractional_positions": [[0.000, 0.000, 0.000], [0.182, 0.182, 0.000], [0.818, 0.818, 0.000], [0.399, 0.399, 0.000], [0.601, 0.601, 0.000], [0.082, 0.582, 0.500], [0.302, 0.302, 0.000], [0.418, 0.918, 0.500], [0.582, 0.082, 0.500], [0.698, 0.698, 0.000], [0.918, 0.418, 0.500]]}

# 2
{"formula": "Rb2AgBr", "functional": "GGA-PBE", "state": "optimized geometry", "e_tot_ev_per_fu": -9.56, "e_above_lowest_polymorph_mev_per_atom": 21.2, "e_form_raw_mev_per_atom": -775, "total_magnetization_mub_per_atom": 0.000, "lattice": [[4.906, 0.000, 0.000], [-2.453, 4.249, 0.000], [0.000, 0.000, 26.522]], "species": ["Rb", "Rb", "Rb", "Rb", "Rb", "Rb", "Ag", "Ag", "Ag", "Br", "Br", "Br"], "fractional_positions": [[0.000, 0.000, 0.000], [0.000, 0.000, 0.160], [0.333, 0.667, 0.667], [0.333, 0.667, 0.827], [0.667, 0.333, 0.333], [0.667, 0.333, 0.493], [0.000, 0.000, 0.580], [0.333, 0.667, 0.246], [0.667, 0.333, 0.913], [0.000, 0.000, 0.747], [0.333, 0.667, 0.414], [0.667, 0.333, 0.080]]}

# 3
{"formula": "RbAgBr2", "functional": "GGA-PBE", "state": "optimized geometry", "e_tot_ev_per_fu": -11.22, "e_form_raw_mev_per_atom": -1015, "total_magnetization_mub_per_atom": 0.000, "dos_ef_per_ev_atom": 0.00, "lattice": [[5.395, 0.000, 0.000], [-2.697, 4.672, 0.000], [0.000, 0.000, 24.379]], "species": ["Rb", "Rb", "Rb", "Ag", "Ag", "Ag", "Br", "Br", "Br", "Br", "Br", "Br"], "fractional_positions": [[0.000, 0.000, 0.000], [0.333, 0.667, 0.667], [0.667, 0.333, 0.333], [0.000, 0.000, 0.500], [0.333, 0.667, 0.167], [0.667, 0.333, 0.833], [0.000, 0.000, 0.399], [0.000, 0.000, 0.601], [0.333, 0.667, 0.065], [0.333, 0.667, 0.268], [0.667, 0.333, 0.732], [0.667, 0.333, 0.935]]}

# 4
{"formula": "Rb2AgBr", "functional": "GGA-PBE", "state": "optimized geometry", "e_tot_ev_per_fu": -9.58, "e_above_lowest_polymorph_mev_per_atom": 14.9, "e_form_raw_mev_per_atom": -781, "total_magnetization_mub_per_atom": 0.000, "dos_ef_per_ev_atom": 0.01, "lattice": [[4.237, 0.000, 0.000], [0.000, 4.237, 0.000], [0.000, 0.000, 8.643]], "species": ["Rb", "Rb", "Ag", "Br"], "fractional_positions": [[0.000, 0.000, 0.238], [0.000, 0.000, 0.762], [0.500, 0.500, 0.500], [0.500, 0.500, 0.000]]}

# 5
{"formula": "Rb6AgBr5", "functional": "GGA-PBE", "state": "optimized geometry", "e_tot_ev_per_fu": -34.16, "e_form_raw_mev_per_atom": -1428, "total_magnetization_mub_per_atom": 0.000, "dos_ef_per_ev_atom": 0.00, "lattice": [[4.334, -7.501, 0.000], [4.334, 7.501, 0.000], [-2.892, 0.000, 8.167]], "species": ["Rb", "Rb", "Rb", "Rb", "Rb", "Rb", "Ag", "Br", "Br", "Br", "Br", "Br"], "fractional_positions": [[0.074, 0.416, 0.746], [0.243, 0.243, 0.255], [0.416, 0.074, 0.746], [0.584, 0.926, 0.254], [0.757, 0.757, 0.745], [0.926, 0.584, 0.254], [0.500, 0.500, 0.000], [0.000, 0.000, 0.500], [0.167, 0.833, 0.000], [0.335, 0.665, 0.500], [0.665, 0.335, 0.500], [0.833, 0.167, 0.000]]}

# 6
{"formula": "Rb5Ag3Br12", "functional": "GGA-PBE", "state": "optimized geometry", "e_tot_ev_per_fu": -49.57, "e_form_raw_mev_per_atom": -805, "total_magnetization_mub_per_atom": 0.097, "dos_ef_per_ev_atom": 0.80, "lattice": [[-9.867, 9.867, 9.867], [9.867, -9.867, 9.867], [9.867, 9.867, -9.867]], "species": ["Rb", "Rb", "Rb", "Rb", "Rb", "Rb", "Rb", "Rb", "Rb", "Rb", "Rb", "Rb", "Rb", "Rb", "Rb", "Rb", "Rb", "Rb", "Rb", "Rb", "Ag", "Ag", "Ag", "Ag", "Ag", "Ag", "Ag", "Ag", "Ag", "Ag", "Ag", "Ag", "Br", "Br", "Br", "Br", "Br", "Br", "Br", "Br", "Br", "Br", "Br", "Br", "Br", "Br", "Br", "Br", "Br", "Br", "Br", "Br", "Br", "Br", "Br", "Br", "Br", "Br", "Br", "Br", "Br", "Br", "Br", "Br", "Br", "Br", "Br", "Br", "Br", "Br", "Br", "Br", "Br", "Br", "Br", "Br", "Br", "Br", "Br", "Br"], "fractional_positions": [[0.000, 0.000, 0.000], [0.000, 0.000, 0.500], [0.000, 0.500, 0.000], [0.000, 0.500, 0.500], [0.125, 0.750, 0.875], [0.125, 0.875, 0.250], [0.250, 0.125, 0.875], [0.250, 0.625, 0.375], [0.375, 0.250, 0.625], [0.375, 0.625, 0.750], [0.500, 0.000, 0.000], [0.500, 0.000, 0.500], [0.500, 0.500, 0.000], [0.500, 0.500, 0.500], [0.625, 0.375, 0.250], [0.625, 0.750, 0.375], [0.750, 0.375, 0.625], [0.750, 0.875, 0.125], [0.875, 0.125, 0.750], [0.875, 0.250, 0.125], [0.125, 0.250, 0.375], [0.125, 0.375, 0.750], [0.250, 0.375, 0.125], [0.250, 0.875, 0.625], [0.375, 0.125, 0.250], [0.375, 0.750, 0.125], [0.625, 0.250, 0.875], [0.625, 0.875, 0.750], [0.750, 0.125, 0.375], [0.750, 0.625, 0.875], [0.875, 0.625, 0.250], [0.875, 0.750, 0.625], [0.008, 0.703, 0.643], [0.008, 0.805, 0.365], [0.060, 0.203, 0.195], [0.060, 0.357, 0.865], [0.135, 0.695, 0.492], [0.135, 0.940, 0.643], [0.143, 0.203, 0.508], [0.143, 0.440, 0.635], [0.195, 0.060, 0.203], [0.195, 0.635, 0.992], [0.203, 0.195, 0.060], [0.203, 0.508, 0.143], [0.297, 0.357, 0.992], [0.297, 0.440, 0.305], [0.305, 0.297, 0.440], [0.305, 0.508, 0.865], [0.357, 0.865, 0.060], [0.357, 0.992, 0.297], [0.365, 0.008, 0.805], [0.365, 0.857, 0.560], [0.440, 0.305, 0.297], [0.440, 0.635, 0.143], [0.492, 0.135, 0.695], [0.492, 0.857, 0.797], [0.508, 0.143, 0.203], [0.508, 0.865, 0.305], [0.560, 0.365, 0.857], [0.560, 0.695, 0.703], [0.635, 0.143, 0.440], [0.635, 0.992, 0.195], [0.643, 0.008, 0.703], [0.643, 0.135, 0.940], [0.695, 0.492, 0.135], [0.695, 0.703, 0.560], [0.703, 0.560, 0.695], [0.703, 0.643, 0.008], [0.797, 0.492, 0.857], [0.797, 0.805, 0.940], [0.805, 0.365, 0.008], [0.805, 0.940, 0.797], [0.857, 0.560, 0.365], [0.857, 0.797, 0.492], [0.865, 0.060, 0.357], [0.865, 0.305, 0.508], [0.940, 0.643, 0.135], [0.940, 0.797, 0.805], [0.992, 0.195, 0.635], [0.992, 0.297, 0.357]]}

# 7
{"formula": "RbAg4Br7", "functional": "GGA-PBE", "state": "optimized geometry", "e_tot_ev_per_fu": -30.46, "e_form_raw_mev_per_atom": -531, "total_magnetization_mub_per_atom": 0.000, "dos_ef_per_ev_atom": 0.35, "lattice": [[19.794, 0.000, 0.000], [0.000, 5.454, 0.000], [0.000, 0.000, 7.403]], "species": ["Rb", "Rb", "Ag", "Ag", "Ag", "Ag", "Ag", "Ag", "Ag", "Ag", "Br", "Br", "Br", "Br", "Br", "Br", "Br", "Br", "Br", "Br", "Br", "Br", "Br", "Br"], "fractional_positions": [[0.000, 0.249, 0.000], [0.500, 0.751, 0.500], [0.120, 0.750, 0.538], [0.234, 0.750, 0.117], [0.266, 0.250, 0.617], [0.380, 0.250, 0.038], [0.620, 0.250, 0.038], [0.734, 0.250, 0.617], [0.766, 0.750, 0.117], [0.880, 0.750, 0.538], [0.000, 0.750, 0.692], [0.105, 0.750, 0.159], [0.135, 0.250, 0.590], [0.244, 0.250, 0.101], [0.256, 0.750, 0.601], [0.365, 0.750, 0.090], [0.395, 0.250, 0.659], [0.500, 0.250, 0.192], [0.605, 0.250, 0.659], [0.635, 0.750, 0.090], [0.744, 0.750, 0.601], [0.756, 0.250, 0.101], [0.865, 0.250, 0.590], [0.895, 0.750, 0.159]]}

# 8
{"formula": "Rb2AgBr", "functional": "GGA-PBE", "state": "optimized geometry", "e_tot_ev_per_fu": -9.33, "e_above_lowest_polymorph_mev_per_atom": 78.0, "e_form_raw_mev_per_atom": -718, "total_magnetization_mub_per_atom": 0.000, "dos_ef_per_ev_atom": 0.00, "lattice": [[9.080, 0.000, 0.000], [0.000, 9.080, 0.000], [0.000, 0.000, 10.326]], "species": ["Rb", "Rb", "Rb", "Rb", "Rb", "Rb", "Rb", "Rb", "Ag", "Ag", "Ag", "Ag", "Br", "Br", "Br", "Br"], "fractional_positions": [[0.231, 0.250, 0.125], [0.250, 0.731, 0.375], [0.250, 0.769, 0.875], [0.269, 0.250, 0.625], [0.731, 0.750, 0.625], [0.750, 0.231, 0.875], [0.750, 0.269, 0.375], [0.769, 0.750, 0.125], [0.000, 0.000, 0.500], [0.000, 0.500, 0.750], [0.500, 0.000, 0.250], [0.500, 0.500, 0.000], [0.000, 0.000, 0.000], [0.000, 0.500, 0.250], [0.500, 0.000, 0.750], [0.500, 0.500, 0.500]]}

# 9
{"formula": "Rb2ReAgBr6", "functional": "GGA-PBE", "state": "optimized geometry", "e_tot_ev_per_fu": -34.71, "e_form_raw_mev_per_atom": -744, "total_magnetization_mub_per_atom": 0.229, "dos_ef_per_ev_atom": 1.46, "lattice": [[-3.847, 3.847, 5.435], [3.847, -3.847, 5.435], [3.847, 3.847, -5.435]], "species": ["Rb", "Rb", "Re", "Ag", "Br", "Br", "Br", "Br", "Br", "Br"], "fractional_positions": [[0.250, 0.750, 0.500], [0.750, 0.250, 0.500], [0.000, 0.000, 0.000], [0.500, 0.500, 0.000], [0.237, 0.237, 0.000], [0.237, 0.237, 0.473], [0.237, 0.763, 0.000], [0.763, 0.237, 0.000], [0.763, 0.763, 0.000], [0.763, 0.763, 0.527]]}

# 10
{"formula": "RbAg2RhBr8", "functional": "GGA-PBE", "state": "optimized geometry", "e_tot_ev_per_fu": -33.19, "e_form_raw_mev_per_atom": -482, "total_magnetization_mub_per_atom": 0.000, "dos_ef_per_ev_atom": 1.04, "lattice": [[6.366, 0.000, 0.000], [2.232, 6.331, 0.000], [0.479, 0.899, 9.767]], "species": ["Rb", "Ag", "Ag", "Rh", "Br", "Br", "Br", "Br", "Br", "Br", "Br", "Br"], "fractional_positions": [[0.000, 0.000, 0.000], [0.337, 0.377, 0.293], [0.663, 0.623, 0.707], [0.000, 0.000, 0.500], [0.209, 0.745, 0.692], [0.224, 0.233, 0.530], [0.255, 0.447, 0.035], [0.271, 0.814, 0.323], [0.729, 0.186, 0.677], [0.745, 0.553, 0.965], [0.776, 0.767, 0.470], [0.791, 0.255, 0.308]]}

# 11
{"formula": "Rb3Ag2RhBr9", "functional": "GGA-PBE", "state": "optimized geometry", "e_tot_ev_per_fu": -44.26, "e_form_raw_mev_per_atom": -883, "total_magnetization_mub_per_atom": 0.025, "dos_ef_per_ev_atom": 1.02, "lattice": [[7.643, 0.000, 0.000], [-3.822, 6.619, 0.000], [0.000, 0.000, 9.334]], "species": ["Rb", "Rb", "Rb", "Ag", "Ag", "Rh", "Br", "Br", "Br", "Br", "Br", "Br", "Br", "Br", "Br"], "fractional_positions": [[0.000, 0.000, 0.000], [0.333, 0.667, 0.672], [0.667, 0.333, 0.328], [0.333, 0.667, 0.168], [0.667, 0.333, 0.832], [0.000, 0.000, 0.500], [0.000, 0.500, 0.000], [0.157, 0.314, 0.343], [0.157, 0.843, 0.343], [0.314, 0.157, 0.657], [0.500, 0.000, 0.000], [0.500, 0.500, 0.000], [0.686, 0.843, 0.343], [0.843, 0.157, 0.657], [0.843, 0.686, 0.657]]}

# 12
{"formula": "RbAgRuBr6", "functional": "GGA-PBE", "state": "optimized geometry", "e_tot_ev_per_fu": -28.38, "e_form_raw_mev_per_atom": -583, "total_magnetization_mub_per_atom": 0.230, "dos_ef_per_ev_atom": 0.62, "lattice": [[7.101, 0.000, 0.000], [-3.550, 6.149, 0.000], [0.000, 0.000, 7.498]], "species": ["Rb", "Ag", "Ru", "Br", "Br", "Br", "Br", "Br", "Br"], "fractional_positions": [[0.000, 0.000, 0.000], [0.333, 0.667, 0.500], [0.667, 0.333, 0.500], [0.386, 0.037, 0.693], [0.386, 0.349, 0.307], [0.651, 0.037, 0.307], [0.651, 0.614, 0.693], [0.963, 0.349, 0.693], [0.963, 0.614, 0.307]]}